(1)
The following is a DFT calculation (GGA-PBE) of a relaxed structure of TaNbZn.

Values from the calculation:
Magnetic moment: 0.00 μB per formula unit
Energy of formation: 25 meV/atom
Distance to the lowest polymorph of the same formula: 12 kJ/mol of formula units
SG: I4mm

abc: 6.869 6.869 6.869
angles: 156.55 156.55 33.41
Fractional positions:
Ta: 0.000 0.000 0.000
Nb: 0.683 0.683 0.000
Zn: 0.342 0.342 0.000

=====

(2)
The following is a DFT calculation (GGA-PBE) of a relaxed structure of ScMnPt3.

Values from the calculation:
Magnetic moment: 3.95 μB per formula unit
Energy of formation: 197 meV/atom
Distance to the lowest polymorph of the same formula: 0 kJ/mol of formula units
SG: Pm-3m

abc: 4.644 4.644 4.644
angles: 90.00 90.00 90.00
Fractional positions:
Sc: 0.000 0.000 0.000
Mn: 0.500 0.500 0.500
Pt: 0.000 0.500 0.500
Pt: 0.500 0.000 0.500
Pt: 0.500 0.500 0.000